(1)
A plane-wave DFT calculation with PBE-GGA was carried out for an optimized crystal structure of TlSeBr2.

- E: -9.02 eV per cell
- Crystal system: orthorhombic
- Space group: Cmmm, No. 65
- Total magnetic moment: 0.0 μB/f.u.
- D(E_F): 3.5 states/eV per cell

abc: 5.431 5.431 3.800
angles: 90.00 90.00 90.06
Atoms (fractional coordinates):
1 Tl 0.000 0.000 0.000
2 Se 0.500 0.500 0.000
3 Br 0.000 0.500 0.500
4 Br 0.500 0.000 0.500



(2)
A plane-wave DFT calculation with PBE-GGA was carried out for an optimized crystal structure of Tl6SeBr4.

- E: -64.61 eV per cell
- Crystal system: trigonal
- Space group: R-3c, No. 167
- Total magnetic moment: 0.0 μB/f.u.
- D(E_F): 0.0 states/eV per cell

abc: 9.291 9.291 9.291
angles: 89.26 89.26 89.26
Atoms (fractional coordinates):
1 Tl 0.049 0.945 0.685
2 Tl 0.055 0.315 0.951
3 Tl 0.185 0.445 0.549
4 Tl 0.315 0.951 0.055
5 Tl 0.445 0.549 0.185
6 Tl 0.451 0.815 0.555
7 Tl 0.549 0.185 0.445
8 Tl 0.555 0.451 0.815
9 Tl 0.685 0.049 0.945
10 Tl 0.815 0.555 0.451
11 Tl 0.945 0.685 0.049
12 Tl 0.951 0.055 0.315
13 Se 0.000 0.000 0.000
14 Se 0.500 0.500 0.500
15 Br 0.173 0.750 0.327
16 Br 0.250 0.250 0.250
17 Br 0.250 0.673 0.827
18 Br 0.327 0.173 0.750
19 Br 0.673 0.827 0.250
20 Br 0.750 0.327 0.173
21 Br 0.750 0.750 0.750
22 Br 0.827 0.250 0.673



(3)
A plane-wave DFT calculation with PBE-GGA was carried out for an optimized crystal structure of TlSeBr2.

- E: -8.89 eV per cell
- Crystal system: tetragonal
- Space group: P4/mmm, No. 123
- Total magnetic moment: 2.8 μB/f.u.
- D(E_F): 1.9 states/eV per cell

abc: 3.963 3.963 7.769
angles: 90.00 90.00 90.00
Atoms (fractional coordinates):
1 Tl 0.000 0.000 0.000
2 Se 0.000 0.000 0.500
3 Br 0.500 0.500 0.256
4 Br 0.500 0.500 0.744



(4)
A plane-wave DFT calculation with PBE-GGA was carried out for an optimized crystal structure of TlSeBr2.

- E: -9.37 eV per cell
- Crystal system: orthorhombic
- Space group: Cmmm, No. 65
- Total magnetic moment: 0.0 μB/f.u.
- D(E_F): 1.9 states/eV per cell

abc: 4.614 4.614 7.776
angles: 90.00 90.00 121.09
Atoms (fractional coordinates):
1 Tl 0.000 0.000 0.000
2 Se 0.000 0.000 0.500
3 Br 0.500 0.500 0.283
4 Br 0.500 0.500 0.717



(5)
A plane-wave DFT calculation with PBE-GGA was carried out for an optimized crystal structure of Tl4SeBr2.

- E: -81.97 eV per cell
- Crystal system: orthorhombic
- Space group: Pnma, No. 62
- Total magnetic moment: 0.0 μB/f.u.

abc: 13.744 4.503 16.271
angles: 90.00 90.00 90.00
Atoms (fractional coordinates):
1 Tl 0.043 0.250 0.225
2 Tl 0.077 0.250 0.618
3 Tl 0.173 0.750 0.032
4 Tl 0.239 0.750 0.299
5 Tl 0.261 0.250 0.799
6 Tl 0.327 0.250 0.532
7 Tl 0.423 0.750 0.118
8 Tl 0.457 0.750 0.725
9 Tl 0.543 0.250 0.275
10 Tl 0.577 0.250 0.882
11 Tl 0.673 0.750 0.468
12 Tl 0.739 0.750 0.201
13 Tl 0.761 0.250 0.701
14 Tl 0.827 0.250 0.968
15 Tl 0.923 0.750 0.382
16 Tl 0.957 0.750 0.775
17 Se 0.243 0.750 0.656
18 Se 0.257 0.250 0.156
19 Se 0.743 0.750 0.844
20 Se 0.757 0.250 0.344
21 Br 0.054 0.250 0.884
22 Br 0.118 0.250 0.431
23 Br 0.382 0.750 0.931
24 Br 0.446 0.750 0.384
25 Br 0.554 0.250 0.616
26 Br 0.618 0.250 0.069
27 Br 0.882 0.750 0.569
28 Br 0.946 0.750 0.116



(6)
A plane-wave DFT calculation with PBE-GGA was carried out for an optimized crystal structure of Tl7Se3Br.

- E: -33.01 eV per cell
- Crystal system: monoclinic
- Space group: C2/m, No. 12
- Total magnetic moment: 0.0 μB/f.u.
- D(E_F): 0.0 states/eV per cell

abc: 7.198 7.198 7.492
angles: 94.08 94.08 97.70
Atoms (fractional coordinates):
1 Tl 0.000 0.000 0.000
2 Tl 0.108 0.533 0.303
3 Tl 0.328 0.328 0.814
4 Tl 0.467 0.892 0.697
5 Tl 0.533 0.108 0.303
6 Tl 0.672 0.672 0.186
7 Tl 0.892 0.467 0.697
8 Se 0.288 0.712 0.000
9 Se 0.500 0.500 0.500
10 Se 0.712 0.288 0.000
11 Br 0.000 0.000 0.500



| no. | ΔE_f (raw) (meV per atom) |
| --- | --- |
| 1 | 44 |
| 2 | -721 |
| 3 | 78 |
| 4 | -45 |
| 5 | -599 |
| 6 | -392 |